# 1
The following is a SCAN calculation of a crystal of TcAg2Os relaxed with PBEsol, from Alexandria.

## Properties
Energy relative to the elements in meV/atom: 768

a = 4.4423 Å, b = 3.6916 Å, c = 3.6916 Å
α = 90.00°, β = 90.00°, γ = 90.00°
Fractional coordinates of all 4 atoms:
Ag1 0.0000 0.0000 0.5000
Ag2 0.0000 0.5000 0.0000
Os1 0.5000 0.5000 0.5000
Tc1 0.5000 0.0000 0.0000

# 2
The following is a SCAN calculation of a crystal of Ag2TeOs relaxed with PBEsol, from Alexandria.

## Properties
Uncorrected formation energy in eV per atom: 0.70

a = 3.1565 Å, b = 4.4512 Å, c = 5.7829 Å
α = 112.63°, β = 105.83°, γ = 90.02°
Fractional coordinates of all 4 atoms:
Te1 0.5000 0.5000 0.0000
Os1 0.0000 0.0000 0.0000
Ag1 0.0000 0.5000 0.5000
Ag2 0.5000 0.0000 0.5000

# 3
The following is a SCAN calculation of a crystal of Ag2TeOs relaxed with PBEsol, from Alexandria.

## Properties
Uncorrected formation energy in eV per atom: 0.86

a = 3.6618 Å, b = 3.6618 Å, c = 5.3596 Å
α = 90.00°, β = 90.00°, γ = 90.00°
Fractional coordinates of all 4 atoms:
Te1 0.5000 0.5000 0.5000
Os1 0.5000 0.5000 0.0000
Ag1 0.0000 0.0000 0.7586
Ag2 0.0000 0.0000 0.2414

# 4
The following is a SCAN calculation of a crystal of Ag2TeOs relaxed with PBEsol, from Alexandria.

## Properties
Uncorrected formation energy in eV per atom: 0.46

a = 3.1568 Å, b = 3.1568 Å, c = 7.3304 Å
α = 90.00°, β = 90.00°, γ = 90.00°
Fractional coordinates of all 4 atoms:
Te1 0.5000 0.5000 0.7026
Os1 0.0000 0.0000 0.5061
Ag1 0.0000 0.0000 0.0336
Ag2 0.5000 0.5000 0.2577

# 5
The following is a SCAN calculation of a crystal of Ag2TeOs relaxed with PBEsol, from Alexandria.

## Properties
Uncorrected formation energy in eV per atom: 0.73

a = 3.3265 Å, b = 4.3694 Å, c = 4.8062 Å
α = 90.00°, β = 90.00°, γ = 90.00°
Fractional coordinates of all 4 atoms:
Te1 0.0000 0.5000 0.5000
Os1 0.5000 0.0000 0.5000
Ag1 0.0000 0.0000 0.0000
Ag2 0.5000 0.5000 0.0000

# 6
The following is a SCAN calculation of a crystal of AgTe3Os relaxed with PBEsol, from Alexandria.

## Properties
Uncorrected formation energy in eV per atom: 1.77

a = 5.1948 Å, b = 5.1948 Å, c = 5.1948 Å
α = 90.00°, β = 90.00°, γ = 90.00°
Fractional coordinates of all 5 atoms:
Te1 0.0000 0.5000 0.0000
Te2 0.0000 0.0000 0.5000
Te3 0.5000 0.0000 0.0000
Os1 0.5000 0.5000 0.5000
Ag1 0.0000 0.0000 0.0000

# 7
The following is a SCAN calculation of a crystal of Ag2TeOs relaxed with PBEsol, from Alexandria.

## Properties
Uncorrected formation energy in eV per atom: 0.80

a = 2.8768 Å, b = 2.8768 Å, c = 9.1351 Å
α = 90.00°, β = 90.00°, γ = 90.00°
Fractional coordinates of all 4 atoms:
Te1 0.5000 0.5000 0.5000
Os1 0.5000 0.5000 0.0000
Ag1 0.0000 0.0000 0.7866
Ag2 0.0000 0.0000 0.2134

# 8
The following is a SCAN calculation of a crystal of TiAgOs3 relaxed with PBEsol, from Alexandria.

## Properties
Energy relative to the elements in meV/atom: 1900

a = 4.4940 Å, b = 4.4940 Å, c = 4.4940 Å
α = 90.00°, β = 90.00°, γ = 90.00°
Fractional coordinates of all 5 atoms:
Os1 0.0000 0.5000 0.0000
Os2 0.0000 0.0000 0.5000
Os3 0.5000 0.0000 0.0000
Ag1 0.5000 0.5000 0.5000
Ti1 0.0000 0.0000 0.0000

# 9
The following is a SCAN calculation of a crystal of Ag2OsW relaxed with PBEsol, from Alexandria.

## Properties
Energy relative to the elements in meV/atom: 690

a = 2.7326 Å, b = 2.7326 Å, c = 9.6893 Å
α = 81.89°, β = 81.89°, γ = 60.00°
Fractional coordinates of all 4 atoms:
Ag1 0.2490 0.2490 0.2529
Ag2 0.7510 0.7510 0.7471
Os1 0.5000 0.5000 0.5000
W1 0.0000 0.0000 0.0000

# 10
The following is a SCAN calculation of a crystal of AgOs2W relaxed with PBEsol, from Alexandria.

## Properties
Energy relative to the elements in meV/atom: 882

a = 4.3998 Å, b = 4.3998 Å, c = 4.3998 Å
α = 60.00°, β = 60.00°, γ = 60.00°
Fractional coordinates of all 4 atoms:
Ag1 0.5000 0.5000 0.5000
Os1 0.0000 0.0000 0.0000
Os2 0.2500 0.2500 0.2500
W1 0.7500 0.7500 0.7500

# 11
The following is a SCAN calculation of a crystal of Ag2OsW relaxed with PBEsol, from Alexandria.

## Properties
Energy relative to the elements in meV/atom: 419

a = 2.9072 Å, b = 2.9072 Å, c = 7.6211 Å
α = 90.00°, β = 90.00°, γ = 90.00°
Fractional coordinates of all 4 atoms:
Ag1 0.0000 0.0000 0.9988
Ag2 0.5000 0.5000 0.2544
Os1 0.0000 0.0000 0.5239
W1 0.5000 0.5000 0.7229

# 12
The following is a SCAN calculation of a crystal of Ag2OsW relaxed with PBEsol, from Alexandria.

## Properties
Energy relative to the elements in meV/atom: 830

a = 2.6524 Å, b = 2.6524 Å, c = 8.7889 Å
α = 90.00°, β = 90.00°, γ = 90.00°
Fractional coordinates of all 4 atoms:
Ag1 0.0000 0.0000 0.7533
Ag2 0.0000 0.0000 0.2467
Os1 0.5000 0.5000 0.0000
W1 0.5000 0.5000 0.5000

# 13
The following is a SCAN calculation of a crystal of AgOs2W relaxed with PBEsol, from Alexandria.

## Properties
Energy relative to the elements in meV/atom: 599

a = 2.7833 Å, b = 4.7276 Å, c = 4.7276 Å
α = 107.78°, β = 90.00°, γ = 90.00°
Fractional coordinates of all 4 atoms:
Ag1 0.5000 0.5000 0.5000
Os1 0.0000 0.5000 0.0000
Os2 0.0000 0.0000 0.5000
W1 0.5000 0.0000 0.0000

# 14
The following is a SCAN calculation of a crystal of AgOs2W relaxed with PBEsol, from Alexandria.

## Properties
Energy relative to the elements in meV/atom: 612

a = 3.8270 Å, b = 3.8270 Å, c = 4.8601 Å
α = 113.19°, β = 113.19°, γ = 90.00°
Fractional coordinates of all 4 atoms:
Ag1 0.2500 0.7500 0.5000
Os1 0.0000 0.0000 0.0000
Os2 0.7500 0.2500 0.5000
W1 0.5000 0.5000 0.0000

# 15
The following is a SCAN calculation of a crystal of YAgOs2 relaxed with PBEsol, from Alexandria.

## Properties
Energy relative to the elements in meV/atom: 658

a = 3.4014 Å, b = 3.4014 Å, c = 6.0574 Å
α = 90.00°, β = 90.00°, γ = 90.00°
Fractional coordinates of all 4 atoms:
Ag1 0.5000 0.5000 0.5000
Os1 0.0000 0.0000 0.7107
Os2 0.0000 0.0000 0.2893
Y1 0.5000 0.5000 0.0000

# 16
The following is a SCAN calculation of a crystal of ZnAgOs relaxed with PBEsol, from Alexandria.

## Properties
Energy relative to the elements in meV/atom: 551

a = 2.5818 Å, b = 4.4393 Å, c = 4.4393 Å
α = 120.00°, β = 90.00°, γ = 90.00°
Fractional coordinates of all 3 atoms:
Ag1 0.0685 0.0000 0.0000
Os1 0.6109 0.3333 0.6667
Zn1 0.3206 0.6667 0.3333

# 17
The following is a SCAN calculation of a crystal of Zn3AgOs relaxed with PBEsol, from Alexandria.

## Properties
Energy relative to the elements in meV/atom: 771

a = 4.7008 Å, b = 4.7008 Å, c = 4.7008 Å
α = 90.00°, β = 90.00°, γ = 90.00°
Fractional coordinates of all 5 atoms:
Zn1 0.0000 0.5000 0.0000
Zn2 0.0000 0.0000 0.5000
Zn3 0.5000 0.0000 0.0000
Os1 0.0000 0.0000 0.0000
Ag1 0.5000 0.5000 0.5000

# 18
The following is a SCAN calculation of a crystal of Zr2AgOs relaxed with PBEsol, from Alexandria.

## Properties
Energy relative to the elements in meV/atom: -367

a = 3.2526 Å, b = 4.7125 Å, c = 4.7126 Å
α = 90.00°, β = 90.00°, γ = 90.00°
Fractional coordinates of all 4 atoms:
Os1 0.5000 0.5000 0.1251
Zr1 0.0000 0.0000 0.1249
Zr2 0.0000 0.5000 0.6252
Ag1 0.5000 0.0000 0.6247

# 19
The following is a SCAN calculation of a crystal of ZrAgOs2 relaxed with PBEsol, from Alexandria.

## Properties
Energy relative to the elements in meV/atom: 226

a = 2.9024 Å, b = 4.8451 Å, c = 4.8618 Å
α = 100.92°, β = 90.00°, γ = 107.43°
Fractional coordinates of all 4 atoms:
Ag1 0.0000 0.0000 0.5000
Os1 0.7523 0.5047 0.7398
Os2 0.2477 0.4953 0.2602
Zr1 0.5000 0.0000 0.0000

# 20
The following is a SCAN calculation of a crystal of ZrAgOs3 relaxed with PBEsol, from Alexandria.

## Properties
Energy relative to the elements in meV/atom: 2490

a = 4.6403 Å, b = 4.6403 Å, c = 4.6403 Å
α = 90.00°, β = 90.00°, γ = 90.00°
Fractional coordinates of all 5 atoms:
Os1 0.0000 0.5000 0.0000
Os2 0.0000 0.0000 0.5000
Os3 0.5000 0.0000 0.0000
Zr1 0.5000 0.5000 0.5000
Ag1 0.0000 0.0000 0.0000

# 21
The following is a SCAN calculation of a crystal of Zr2AgOs relaxed with PBEsol, from Alexandria.

## Properties
Energy relative to the elements in meV/atom: -178

a = 3.3045 Å, b = 4.5714 Å, c = 5.6426 Å
α = 114.03°, β = 107.03°, γ = 90.00°
Fractional coordinates of all 4 atoms:
Ag1 0.5205 0.5206 0.0410
Os1 0.2570 0.7570 0.5140
Zr1 0.9739 0.9740 0.9478
Zr2 0.7486 0.2483 0.4971

# 22
The following is a SCAN calculation of a crystal of Zr2AgOs relaxed with PBEsol, from Alexandria.

## Properties
Energy relative to the elements in meV/atom: -27

a = 3.2554 Å, b = 3.2554 Å, c = 8.6377 Å
α = 79.14°, β = 79.14°, γ = 60.00°
Fractional coordinates of all 4 atoms:
Ag1 0.0000 0.0000 0.0000
Os1 0.5000 0.5000 0.5000
Zr1 0.2428 0.2428 0.2715
Zr2 0.7572 0.7572 0.7285

# 23
The following is a SCAN calculation of a crystal of Ag8P relaxed with PBEsol, from Alexandria.

## Properties
Energy relative to the elements in meV/atom: 96

a = 4.0644 Å, b = 6.3525 Å, c = 6.3525 Å
α = 84.13°, β = 71.34°, γ = 71.34°
Fractional coordinates of all 9 atoms:
Ag1 0.3348 0.0000 0.3304
Ag2 0.6652 0.0000 0.6696
Ag3 0.6686 0.3314 0.3314
Ag4 0.3348 0.3304 0.0000
Ag5 0.0000 0.3314 0.6686
Ag6 0.6652 0.6696 0.0000
Ag7 0.3314 0.6686 0.6686
Ag8 0.0000 0.6686 0.3314
P1 0.0000 0.0000 0.0000

# 24
The following is a SCAN calculation of a crystal of AgP relaxed with PBEsol, from Alexandria.

## Properties
Energy relative to the elements in meV/atom: 474

a = 4.3604 Å, b = 4.3604 Å, c = 4.8711 Å
α = 63.41°, β = 63.41°, γ = 60.00°
Fractional coordinates of all 4 atoms:
Ag1 0.1130 0.1130 0.6610
Ag2 0.8870 0.8870 0.3390
P1 0.3135 0.3135 0.0594
P2 0.6865 0.6865 0.9406

# 25
The following is a SCAN calculation of a crystal of AgP relaxed with PBEsol, from Alexandria.

## Properties
Energy relative to the elements in meV/atom: 468

a = 2.9436 Å, b = 2.9436 Å, c = 8.2868 Å
α = 90.00°, β = 90.00°, γ = 116.07°
Fractional coordinates of all 4 atoms:
Ag1 0.2500 0.7500 0.1366
Ag2 0.7500 0.2500 0.8634
P1 0.2500 0.7500 0.5977
P2 0.7500 0.2500 0.4023

# 26
The following is a SCAN calculation of a crystal of AgP relaxed with PBEsol, from Alexandria.

## Properties
Energy relative to the elements in meV/atom: 97

a = 3.2359 Å, b = 4.2274 Å, c = 5.5991 Å
α = 112.18°, β = 90.00°, γ = 90.00°
Fractional coordinates of all 4 atoms:
Ag1 0.2500 0.6894 0.3789
Ag2 0.7500 0.3106 0.6211
P1 0.2500 0.0715 0.1431
P2 0.7500 0.9285 0.8569

# 27
The following is a SCAN calculation of a crystal of AgP relaxed with PBEsol, from Alexandria.

## Properties
Energy relative to the elements in meV/atom: 372

a = 2.6693 Å, b = 5.0244 Å, c = 5.0371 Å
α = 90.00°, β = 105.36°, γ = 90.00°
Fractional coordinates of all 4 atoms:
Ag1 0.7357 0.7500 0.4713
Ag2 0.2643 0.2500 0.5287
P1 0.9995 0.7500 0.9991
P2 0.0005 0.2500 0.0009

# 28
The following is a SCAN calculation of a crystal of AgP15 relaxed with PBEsol, from Alexandria.

## Properties
Energy relative to the elements in meV/atom: 11

a = 6.8610 Å, b = 8.8691 Å, c = 10.8063 Å
α = 101.22°, β = 98.85°, γ = 104.86°
Fractional coordinates of all 32 atoms:
Ag1 0.3361 0.7221 0.4974
Ag2 0.6639 0.2779 0.5026
P1 0.9588 0.5706 0.8357
P2 0.0412 0.4294 0.1643
P3 0.9413 0.0004 0.6505
P4 0.0587 0.9996 0.3495
P5 0.9216 0.7689 0.2040
P6 0.0785 0.2311 0.7960
P7 0.8687 0.5516 0.6302
P8 0.1313 0.4484 0.3698
P9 0.7732 0.8915 0.7840
P10 0.2268 0.1085 0.2160
P11 0.7529 0.6814 0.3461
P12 0.2471 0.3186 0.6539
P13 0.6752 0.5016 0.9135
P14 0.3248 0.4984 0.0865
P15 0.6771 0.8203 0.0629
P16 0.3229 0.1797 0.9371
P17 0.6155 0.6568 0.6470
P18 0.3845 0.3432 0.3530
P19 0.6086 0.2386 0.8623
P20 0.3914 0.7614 0.1377
P21 0.5423 0.8352 0.3459
P22 0.4577 0.1648 0.6541
P23 0.4341 0.5548 0.7795
P24 0.5659 0.4452 0.2205
P25 0.3043 0.9251 0.8587
P26 0.6957 0.0749 0.1413
P27 0.2288 0.9202 0.6492
P28 0.7712 0.0798 0.3508
P29 0.0113 0.8310 0.9158
P30 0.9887 0.1690 0.0842

# 29
The following is a SCAN calculation of a crystal of AgP relaxed with PBEsol, from Alexandria.

## Properties
Energy relative to the elements in meV/atom: 610

a = 3.9086 Å, b = 3.9086 Å, c = 3.9086 Å
α = 60.00°, β = 60.00°, γ = 60.00°
Fractional coordinates of all 2 atoms:
P1 0.7500 0.7500 0.7500
Ag1 0.0000 0.0000 0.0000